No. 1
# GGA-PBE Mg5Cd6Hg, optimized geometry
# Volume (Å³ per atom): 21.9
# E_form (eV per formula unit): -1.01
data_Mg5Cd6Hg
_cell_length_a 4.4299
_cell_length_b 8.8210
_cell_length_c 13.4782
_cell_angle_alpha 90.00
_cell_angle_beta 90.00
_cell_angle_gamma 90.00
_symmetry_space_group_name_H-M 'I m m m'
_symmetry_Int_Tables_number 71
_symmetry_space_group_name_Hall '-I 2 2'
loop_
_atom_site_label
_atom_site_fract_x
_atom_site_fract_y
_atom_site_fract_z
_atom_site_occupancy
Mg1 0.0000 0.0000 0.0000 1
Mg2 0.0000 0.0000 0.3458 1
Mg3 0.0000 0.5000 0.3284 1
Cd1 0.0000 0.2425 0.1696 1
Cd2 0.0000 0.2658 0.5000 1
Hg1 0.0000 0.5000 0.0000 1



No. 2
# GGA-PBE Sc2Mn, optimized geometry
# Volume (Å³ per atom): 20.3
# E_form (eV per formula unit): 0.53
data_Sc2Mn
_cell_length_a 3.1714
_cell_length_b 15.6842
_cell_length_c 4.8949
_cell_angle_alpha 90.00
_cell_angle_beta 90.00
_cell_angle_gamma 90.00
_symmetry_space_group_name_H-M 'C m c m'
_symmetry_Int_Tables_number 63
_symmetry_space_group_name_Hall '-C 2c 2'
loop_
_atom_site_label
_atom_site_fract_x
_atom_site_fract_y
_atom_site_fract_z
_atom_site_occupancy
Sc1 0.0000 0.0617 0.2500 1
Sc2 0.0000 0.3710 0.2500 1
Mn1 0.0000 0.2787 0.7500 1



No. 3
# GGA-PBE K2NpVTe4, optimized geometry
# Volume (Å³ per atom): 33.3
# Electronic total energy (eV/f.u.): -42.72
data_K2NpVTe4
_cell_length_a 7.3527
_cell_length_b 4.4016
_cell_length_c 8.6321
_cell_angle_alpha 90.00
_cell_angle_beta 107.36
_cell_angle_gamma 90.00
_symmetry_space_group_name_H-M 'P 1 2/m 1'
_symmetry_Int_Tables_number 10
loop_
_symmetry_equiv_pos_as_xyz
'x,y,z'
'-x,-y,-z'
'-x,y,-z'
'x,-y,z'
loop_
_atom_site_label
_atom_site_fract_x
_atom_site_fract_y
_atom_site_fract_z
_atom_site_occupancy
K1 0.0000 0.0000 0.0000 1
K2 0.5000 0.5000 0.0000 1
Np1 0.0000 0.5000 0.5000 1
V1 0.5000 0.0000 0.5000 1
Te1 0.2548 0.0000 0.7049 1
Te2 0.2891 0.5000 0.3096 1



No. 4
# GGA-PBE Cs2ZrPdBr6, optimized geometry
# Volume (Å³ per atom): 34.1
# Electronic total energy (eV/f.u.): -38.29
data_Cs2ZrPdBr6
_cell_length_a 7.8478
_cell_length_b 7.8478
_cell_length_c 11.0592
_cell_angle_alpha 90.00
_cell_angle_beta 90.00
_cell_angle_gamma 90.00
_symmetry_space_group_name_H-M 'I 4/m m m'
_symmetry_Int_Tables_number 139
_symmetry_space_group_name_Hall '-I 4 2'
loop_
_atom_site_label
_atom_site_fract_x
_atom_site_fract_y
_atom_site_fract_z
_atom_site_occupancy
Cs1 0.0000 0.5000 0.2500 1
Zr1 0.0000 0.0000 0.0000 1
Pd1 0.0000 0.0000 0.5000 1
Br1 0.0000 0.0000 0.2426 1
Br2 0.2418 0.2418 0.0000 1



No. 5
# GGA-PBE Te2PBrN, optimized geometry
# Volume (Å³ per atom): 24.0
# Energy above the lowest structure with this stoichiometry (meV/atom): 1084.7
data_Te2PBrN
_cell_length_a 5.6864
_cell_length_b 5.6864
_cell_length_c 3.7126
_cell_angle_alpha 90.00
_cell_angle_beta 90.00
_cell_angle_gamma 90.00
_symmetry_space_group_name_H-M 'P 4/m m m'
_symmetry_Int_Tables_number 123
_symmetry_space_group_name_Hall '-P 4 2'
loop_
_atom_site_label
_atom_site_fract_x
_atom_site_fract_y
_atom_site_fract_z
_atom_site_occupancy
Te1 0.0000 0.5000 0.0000 1
P1 0.0000 0.0000 0.5000 1
Br1 0.5000 0.5000 0.0000 1
N1 0.5000 0.5000 0.5000 1



No. 6
# GGA-PBE ErGeSe3, optimized geometry
# Volume (Å³ per atom): 26.3
# Energy above the lowest structure with this stoichiometry (meV/atom): 57.6
data_ErGeSe3
_cell_length_a 7.3113
_cell_length_b 6.6636
_cell_length_c 10.8024
_cell_angle_alpha 90.00
_cell_angle_beta 90.00
_cell_angle_gamma 90.00
_symmetry_space_group_name_H-M 'P n a 21'
_symmetry_Int_Tables_number 33
loop_
_symmetry_equiv_pos_as_xyz
'x,y,z'
'-x,-y,z+1/2'
'-x+1/2,y+1/2,z+1/2'
'x+1/2,-y+1/2,z'
loop_
_atom_site_label
_atom_site_fract_x
_atom_site_fract_y
_atom_site_fract_z
_atom_site_occupancy
Er1 0.1279 0.0821 0.0000 1
Ge1 0.1101 0.5569 0.1590 1
Se1 0.1255 0.2481 0.5243 1
Se2 0.1249 0.7545 0.6750 1
Se3 0.1476 0.7878 0.3332 1



No. 7
# GGA-PBE SnSeN2F, optimized geometry
# Volume (Å³ per atom): 14.2
# Energy above the lowest structure with this stoichiometry (meV/atom): 27.8
data_SnSeN2F
_cell_length_a 4.1997
_cell_length_b 4.1997
_cell_length_c 4.0385
_cell_angle_alpha 90.00
_cell_angle_beta 90.00
_cell_angle_gamma 90.00
_symmetry_space_group_name_H-M 'P 4/m m m'
_symmetry_Int_Tables_number 123
_symmetry_space_group_name_Hall '-P 4 2'
loop_
_atom_site_label
_atom_site_fract_x
_atom_site_fract_y
_atom_site_fract_z
_atom_site_occupancy
Sn1 0.0000 0.0000 0.0000 1
Se1 0.5000 0.5000 0.5000 1
N1 0.0000 0.5000 0.0000 1
F1 0.0000 0.0000 0.5000 1



No. 8
# GGA-PBE PmNd4Te5, optimized geometry
# Volume (Å³ per atom): 32.1
# Electronic total energy (eV/f.u.): -53.72
data_PmNd4Te5
_cell_length_a 4.4837
_cell_length_b 4.4837
_cell_length_c 31.9008
_cell_angle_alpha 90.00
_cell_angle_beta 90.00
_cell_angle_gamma 90.00
_symmetry_space_group_name_H-M 'I 4/m m m'
_symmetry_Int_Tables_number 139
_symmetry_space_group_name_Hall '-I 4 2'
loop_
_atom_site_label
_atom_site_fract_x
_atom_site_fract_y
_atom_site_fract_z
_atom_site_occupancy
Pm1 0.0000 0.0000 0.0000 1
Nd1 0.0000 0.0000 0.1960 1
Nd2 0.0000 0.0000 0.3978 1
Te1 0.0000 0.0000 0.0979 1
Te2 0.0000 0.0000 0.2976 1
Te3 0.0000 0.0000 0.5000 1



No. 9
# GGA-PBE Ba6TlBr5, optimized geometry
# Volume (Å³ per atom): 40.5
# Electronic total energy (eV/f.u.): -39.22
data_Ba6TlBr5
_cell_length_a 8.4217
_cell_length_b 14.5634
_cell_length_c 8.3994
_cell_angle_alpha 90.00
_cell_angle_beta 109.29
_cell_angle_gamma 90.00
_symmetry_space_group_name_H-M 'C 1 2/m 1'
_symmetry_Int_Tables_number 12
loop_
_symmetry_equiv_pos_as_xyz
'x,y,z'
'-x,-y,-z'
'-x,y,-z'
'x,-y,z'
'x+1/2,y+1/2,z'
'-x+1/2,-y+1/2,-z'
'-x+1/2,y+1/2,-z'
'x+1/2,-y+1/2,z'
loop_
_atom_site_label
_atom_site_fract_x
_atom_site_fract_y
_atom_site_fract_z
_atom_site_occupancy
Ba1 0.2448 0.0000 0.2532 1
Ba2 0.2446 0.1637 0.7440 1
Tl1 0.0000 0.0000 0.5000 1
Br1 0.0000 0.1673 0.0000 1
Br2 0.0000 0.3343 0.5000 1
Br3 0.0000 0.5000 0.0000 1



No. 10
# GGA-PBE ScGa3Cu8, optimized geometry
# Volume (Å³ per atom): 13.9
# E_form (eV per formula unit): -1.42
data_ScGa3Cu8
_cell_length_a 4.8962
_cell_length_b 4.8962
_cell_length_c 8.0506
_cell_angle_alpha 90.00
_cell_angle_beta 90.00
_cell_angle_gamma 120.00
_symmetry_space_group_name_H-M 'P 3 m 1'
_symmetry_Int_Tables_number 156
loop_
_symmetry_equiv_pos_as_xyz
'x,y,z'
'-y,x-y,z'
'-x+y,-x,z'
'-y,-x,z'
'-x+y,y,z'
'x,x-y,z'
loop_
_atom_site_label
_atom_site_fract_x
_atom_site_fract_y
_atom_site_fract_z
_atom_site_occupancy
Sc1 0.0000 0.0000 0.0000 1
Ga1 0.0000 0.0000 0.3707 1
Ga2 0.6667 0.3333 0.4972 1
Ga3 0.6667 0.3333 0.8745 1
Cu1 0.1637 0.3275 0.6787 1
Cu2 0.3333 0.6667 0.4324 1
Cu3 0.3333 0.6667 0.9286 1
Cu4 0.5024 0.0047 0.1862 1



No. 11
# GGA-PBE CrHgSe2, optimized geometry
# Volume (Å³ per atom): 21.7
# Electronic total energy (eV/f.u.): -17.34
data_CrHgSe2
_cell_length_a 2.9785
_cell_length_b 2.9785
_cell_length_c 9.7793
_cell_angle_alpha 90.00
_cell_angle_beta 90.00
_cell_angle_gamma 90.00
_symmetry_space_group_name_H-M 'P 4/m m m'
_symmetry_Int_Tables_number 123
_symmetry_space_group_name_Hall '-P 4 2'
loop_
_atom_site_label
_atom_site_fract_x
_atom_site_fract_y
_atom_site_fract_z
_atom_site_occupancy
Cr1 0.0000 0.0000 0.0000 1
Hg1 0.0000 0.0000 0.5000 1
Se1 0.5000 0.5000 0.1530 1



No. 12
# GGA-PBE Ac8Ge3P3N, optimized geometry
# Volume (Å³ per atom): 33.4
# Electronic total energy (eV/f.u.): -85.09
data_Ac8Ge3P3N
_cell_length_a 8.8315
_cell_length_b 8.8315
_cell_length_c 22.2369
_cell_angle_alpha 90.00
_cell_angle_beta 90.00
_cell_angle_gamma 120.00
_symmetry_space_group_name_H-M 'R -3 m'
_symmetry_Int_Tables_number 166
_symmetry_space_group_name_Hall '-R 3 2"'
loop_
_atom_site_label
_atom_site_fract_x
_atom_site_fract_y
_atom_site_fract_z
_atom_site_occupancy
Ac1 0.0000 0.0000 0.2470 1
Ac2 0.0273 0.5136 0.2404 1
Ge1 0.0000 0.5000 0.0000 1
P1 0.0000 0.5000 0.5000 1
N1 0.0000 0.0000 0.5000 1



No. 13
# GGA-PBE HAuSeN, optimized geometry
# Volume (Å³ per atom): 17.3
# Energy above the lowest structure with this stoichiometry (meV/atom): 382.2
data_HAuSeN
_cell_length_a 3.5296
_cell_length_b 4.2187
_cell_length_c 5.0758
_cell_angle_alpha 108.52
_cell_angle_beta 104.38
_cell_angle_gamma 90.68
_symmetry_space_group_name_H-M 'P 1'
_symmetry_Int_Tables_number 1
loop_
_symmetry_equiv_pos_as_xyz
'x,y,z'
loop_
_atom_site_label
_atom_site_fract_x
_atom_site_fract_y
_atom_site_fract_z
_atom_site_occupancy
H1 0.0000 0.0000 0.0000 1
Au1 0.5048 0.0144 0.0095 1
Se1 0.3353 0.4745 0.6028 1
N1 0.6441 0.4608 0.3741 1



No. 14
# GGA-PBE La5Mg4Al4, optimized geometry
# Volume (Å³ per atom): 27.6
# E_form (eV per formula unit): -3.10
data_La5Mg4Al4
_cell_length_a 12.4102
_cell_length_b 12.4102
_cell_length_c 4.6671
_cell_angle_alpha 90.00
_cell_angle_beta 90.00
_cell_angle_gamma 90.00
_symmetry_space_group_name_H-M 'I 4/m'
_symmetry_Int_Tables_number 87
_symmetry_space_group_name_Hall '-I 4'
loop_
_atom_site_label
_atom_site_fract_x
_atom_site_fract_y
_atom_site_fract_z
_atom_site_occupancy
La1 0.0000 0.0000 0.0000 1
La2 0.1345 0.2051 0.5000 1
Mg1 0.0756 0.6053 0.5000 1
Al1 0.0529 0.7437 0.0000 1



No. 15
# GGA-PBE Sr2SnPtN, optimized geometry
# Volume (Å³ per atom): 25.1
# Electronic total energy (eV/f.u.): -24.58
data_Sr2SnPtN
_cell_length_a 5.7423
_cell_length_b 5.7423
_cell_length_c 3.8010
_cell_angle_alpha 90.00
_cell_angle_beta 90.00
_cell_angle_gamma 90.00
_symmetry_space_group_name_H-M 'P 4/m m m'
_symmetry_Int_Tables_number 123
_symmetry_space_group_name_Hall '-P 4 2'
loop_
_atom_site_label
_atom_site_fract_x
_atom_site_fract_y
_atom_site_fract_z
_atom_site_occupancy
Sr1 0.0000 0.5000 0.0000 1
Sn1 0.0000 0.0000 0.5000 1
Pt1 0.5000 0.5000 0.5000 1
N1 0.5000 0.5000 0.0000 1



No. 16
# GGA-PBE RbNa4Cu3Cl12, optimized geometry
# Volume (Å³ per atom): 25.1
# Electronic total energy (eV/f.u.): -63.06
data_RbNa4Cu3Cl12
_cell_length_a 10.0185
_cell_length_b 10.0185
_cell_length_c 10.0185
_cell_angle_alpha 90.00
_cell_angle_beta 90.00
_cell_angle_gamma 90.00
_symmetry_space_group_name_H-M 'I m -3'
_symmetry_Int_Tables_number 204
_symmetry_space_group_name_Hall '-I 2 2 3'
loop_
_atom_site_label
_atom_site_fract_x
_atom_site_fract_y
_atom_site_fract_z
_atom_site_occupancy
Rb1 0.0000 0.0000 0.0000 1
Na1 0.2500 0.2500 0.2500 1
Cu1 0.0000 0.0000 0.5000 1
Cl1 0.0000 0.3372 0.1565 1



No. 17
# GGA-PBE MgSc3Ru2, optimized geometry
# Volume (Å³ per atom): 19.1
# E_form (eV per formula unit): -2.84
data_MgSc3Ru2
_cell_length_a 3.2467
_cell_length_b 3.2467
_cell_length_c 10.8492
_cell_angle_alpha 90.00
_cell_angle_beta 90.00
_cell_angle_gamma 90.00
_symmetry_space_group_name_H-M 'P 4/m m m'
_symmetry_Int_Tables_number 123
_symmetry_space_group_name_Hall '-P 4 2'
loop_
_atom_site_label
_atom_site_fract_x
_atom_site_fract_y
_atom_site_fract_z
_atom_site_occupancy
Mg1 0.0000 0.0000 0.0000 1
Sc1 0.5000 0.5000 0.2134 1
Sc2 0.5000 0.5000 0.5000 1
Ru1 0.0000 0.0000 0.3472 1



No. 18
# GGA-PBE BiRh, optimized geometry
# Volume (Å³ per atom): 30.9
# E_form (eV per formula unit): 0.33
data_BiRh
_cell_length_a 10.3552
_cell_length_b 10.3552
_cell_length_c 3.9912
_cell_angle_alpha 90.00
_cell_angle_beta 90.00
_cell_angle_gamma 120.00
_symmetry_space_group_name_H-M 'P 63/m'
_symmetry_Int_Tables_number 176
_symmetry_space_group_name_Hall '-P 6c'
loop_
_atom_site_label
_atom_site_fract_x
_atom_site_fract_y
_atom_site_fract_z
_atom_site_occupancy
Bi1 0.1017 0.7252 0.2500 1
Rh1 0.0607 0.4450 0.2500 1



No. 19
# GGA-PBE TlGeO3, optimized geometry
# Volume (Å³ per atom): 14.5
# Electronic total energy (eV/f.u.): -21.60
data_TlGeO3
_cell_length_a 4.1676
_cell_length_b 4.1676
_cell_length_c 4.1676
_cell_angle_alpha 90.00
_cell_angle_beta 90.00
_cell_angle_gamma 90.00
_symmetry_space_group_name_H-M 'P m -3 m'
_symmetry_Int_Tables_number 221
_symmetry_space_group_name_Hall '-P 4 2 3'
loop_
_atom_site_label
_atom_site_fract_x
_atom_site_fract_y
_atom_site_fract_z
_atom_site_occupancy
Tl1 0.0000 0.0000 0.0000 1
Ge1 0.5000 0.5000 0.5000 1
O1 0.0000 0.0000 0.5000 1



No. 20
# GGA-PBE LiCuP3O9, optimized geometry
# Volume (Å³ per atom): 11.5
# Energy above the lowest structure with this stoichiometry (meV/atom): 0.0
data_LiCuP3O9
_cell_length_a 8.2627
_cell_length_b 8.7677
_cell_length_c 8.9153
_cell_angle_alpha 90.00
_cell_angle_beta 90.00
_cell_angle_gamma 90.00
_symmetry_space_group_name_H-M 'P 21 21 21'
_symmetry_Int_Tables_number 19
loop_
_symmetry_equiv_pos_as_xyz
'x,y,z'
'-x+1/2,-y,z+1/2'
'x+1/2,-y+1/2,-z'
'-x,y+1/2,-z+1/2'
loop_
_atom_site_label
_atom_site_fract_x
_atom_site_fract_y
_atom_site_fract_z
_atom_site_occupancy
Li1 0.1205 0.0837 0.1131 1
Cu1 0.0967 0.8618 0.3851 1
P1 0.0457 0.6820 0.0488 1
P2 0.0684 0.0596 0.7345 1
P3 0.2224 0.5749 0.5638 1
O1 0.0294 0.1969 0.6178 1
O2 0.0609 0.0829 0.3513 1
O3 0.0858 0.8376 0.1036 1
O4 0.1106 0.5239 0.7018 1
O5 0.1186 0.6392 0.4391 1
O6 0.1299 0.9250 0.6493 1
O7 0.1398 0.3270 0.1192 1
O8 0.1663 0.1225 0.8640 1
O9 0.2110 0.5877 0.0112 1